This record from Alexandria via LeMat-Bulk describes an optimized crystal structure of K2SbPbO4. The functional is PBE.

Cell lengths 8.8284, 6.4659, 5.8493 Å; angles 90.00, 90.00, 90.00 degrees
Fractional coordinates of all 16 atoms:
K (0.2496, 0.2082, 0.0000)
K (0.2504, 0.7918, 0.5000)
K (0.7504, 0.2082, 0.0000)
K (0.7496, 0.7918, 0.5000)
Sb (0.0000, 0.3060, 0.5125)
Sb (0.5000, 0.6940, 0.0125)
Pb (0.0000, 0.7037, 0.0052)
Pb (0.5000, 0.2963, 0.5052)
O (0.0000, 0.3904, 0.8384)
O (0.0000, 0.5840, 0.3692)
O (0.2244, 0.2261, 0.4860)
O (0.2756, 0.7739, 0.9860)
O (0.5000, 0.4160, 0.8692)
O (0.5000, 0.6096, 0.3384)
O (0.7244, 0.7739, 0.9860)
O (0.7756, 0.2261, 0.4860)

Calculated values
Symmetry ... Pmn2_1, No. 31
DOS at the Fermi energy ... 6.8 states/eV per cell
V ... 333.9 Å³ per cell
Raw total energy ... -5.089 eV/atom
Raw formation energy ... -1.356 eV/atom